# 1
A plane-wave DFT calculation with GGA-PBE was carried out for crystalline CaBi2Au at its relaxed geometry.

Unit cell a=4.6929 b=4.6929 c=21.9978 alpha=90.00 beta=90.00 gamma=90.00
Closest atoms and distances in Å follow each position.
Space group I-42d (No. 122)
Symmetry-distinct sites (fractional):
Ca 0.0000 0.0000 0.0000 [4 per cell]  4 Bi 3.26, 4 Au 3.32
Bi 0.2219 0.2500 0.6250 [8 per cell]  4 Bi 3.14-3.51, 2 Au 3.17, 2 Ca 3.26
Au 0.0000 0.0000 0.5000 [4 per cell]  4 Bi 3.17, 4 Ca 3.32

- energy relative to the elements (kJ/mol of formula units) = -119
- density of states at the Fermi level (states/eV/f.u.) = 2.7
- magnetic moment (μB/atom) = 0.000


# 2
A plane-wave DFT calculation with GGA-PBE was carried out for crystalline CaBi3Au at its relaxed geometry.

Unit cell a=5.7718 b=5.7718 c=5.7718 alpha=90.00 beta=90.00 gamma=90.00
Closest atoms and distances in Å follow each position.
Space group Pm-3m (No. 221)
Symmetry-distinct sites (fractional):
Ca 0.0000 0.0000 0.0000 [1 per cell]  6 Bi 2.89
Bi 0.0000 0.0000 0.5000 [3 per cell]  2 Ca 2.89
Au 0.5000 0.5000 0.5000 [1 per cell]  12 Bi 4.08

- energy relative to the elements (kJ/mol of formula units) = 350
- density of states at the Fermi level (states/eV/f.u.) = 3.4
- offset from the most stable computed form (meV per atom) = 663.2
- magnetic moment (μB/atom) = 0.000


# 3
A plane-wave DFT calculation with GGA-PBE was carried out for crystalline CaBiAu3 at its relaxed geometry.

Unit cell a=5.3942 b=5.3942 c=5.3942 alpha=90.00 beta=90.00 gamma=90.00
Closest atoms and distances in Å follow each position.
Space group Pm-3m (No. 221)
Symmetry-distinct sites (fractional):
Ca 0.0000 0.0000 0.0000 [1 per cell]  12 Au 3.81
Bi 0.5000 0.5000 0.5000 [1 per cell]  6 Au 2.70
Au 0.0000 0.5000 0.5000 [3 per cell]  2 Bi 2.70

- energy relative to the elements (kJ/mol of formula units) = 46
- density of states at the Fermi level (states/eV/f.u.) = 2.5
- offset from the most stable computed form (meV per atom) = 517.3
- magnetic moment (μB/atom) = 0.000


Number 1: total energy -14.28 eV per formula unit. Number 2: total energy -13.30 eV per formula unit. Number 3: total energy -15.24 eV per formula unit.